A PBEsol-optimized structure of Zn2InSi, computed with meta-GGA SCAN.

a = 3.2748 Å, b = 4.3231 Å, c = 5.5846 Å
α = 102.38°, β = 90.08°, γ = 112.22°
Closest atoms and distances in Å follow each position.
Atoms (fractional coordinates):
In 0.4965 0.9974 0.5078  3 Zn 2.81-2.84, 3 Si 2.86-2.91
Si 0.7455 0.4867 0.1949  5 Zn 2.55-2.77
Zn 0.0018 0.0017 0.9971  3 Zn 2.54-2.59, 3 Si 2.55-2.59
Zn 0.2563 0.5143 0.8002  3 Zn 2.54-2.59, 2 Si 2.76-2.77, 3 In 2.81-2.84

Output
Raw formation energy in eV per formula unit: 1.13
Crystal system: triclinic
DOS at the Fermi energy in states/eV per cell: 1.44
Energy above the most stable polymorph in this dataset in meV per atom: 17